No. 1
Computed, not measured: crystalline Tm2SiAg at its relaxed geometry at the PBE level of DFT.

Calculated values
E ... -4.74 eV per atom
Fermi-level density of states ... 2.23 states/eV/f.u.
Energy relative to the elements, uncorrected ... -1.8 eV per formula unit

Cell lengths 3.5138, 3.5138, 7.1004 Å; angles 90.00, 90.00, 90.00 degrees
With the nearest neighbours (Å) after each atom.
Space group P4/mmm (No. 123)
Inequivalent atoms, fractional coordinates:
Tm (0.0000, 0.0000, 0.2384) [2 per cell]  4 Si 3.01, 4 Ag 3.10
Si (0.5000, 0.5000, 0.0000) [1 per cell]  8 Tm 3.01
Ag (0.5000, 0.5000, 0.5000) [1 per cell]  8 Tm 3.10

---

No. 2
Computed, not measured: crystalline Pm2Pr3Er at its relaxed geometry at the PBE level of DFT.

Calculated values
E ... -4.72 eV per atom
DFT formation energy ... 0.014 eV/atom
Fermi-level density of states ... 8.66 states/eV/f.u.

Cell lengths 5.1953, 15.5531, 5.1413 Å; angles 90.00, 90.00, 90.00 degrees
With the nearest neighbours (Å) after each atom.
Space group Cmmm (No. 65)
Inequivalent atoms, fractional coordinates:
Pm (0.0000, 0.1659, 0.0000) [4 per cell]  8 Pr 3.64-3.67, 2 Er 3.66, 2 Pm 3.69
Pr (0.0000, 0.0000, 0.5000) [2 per cell]  4 Pm 3.64, 4 Er 3.65, 4 Pr 3.66
Pr (0.0000, 0.3342, 0.5000) [4 per cell]  2 Er 3.64, 6 Pm 3.65-3.67, 4 Pr 3.66-3.69
Er (0.0000, 0.5000, 0.0000) [2 per cell]  8 Pr 3.64-3.65, 4 Pm 3.66

---

No. 3
Computed, not measured: crystalline BaNaCd2Ni at its relaxed geometry at the PBE level of DFT.

Calculated values
E ... -2.20 eV per atom
DFT formation energy ... -0.025 eV/atom
Fermi-level density of states ... 3.05 states/eV/f.u.

Cell lengths 5.1617, 5.1617, 5.3093 Å; angles 90.00, 90.00, 90.00 degrees
With the nearest neighbours (Å) after each atom.
Space group P4/mmm (No. 123)
Inequivalent atoms, fractional coordinates:
Ba (0.0000, 0.0000, 0.0000) [1 per cell]  4 Na 3.65, 8 Cd 3.70
Na (0.5000, 0.5000, 0.0000) [1 per cell]  2 Ni 2.65
Cd (0.0000, 0.5000, 0.5000) [2 per cell]  2 Ni 2.58
Ni (0.5000, 0.5000, 0.5000) [1 per cell]  4 Cd 2.58, 2 Na 2.65

---

No. 4
Computed, not measured: crystalline Sm6SnAs2Se3 at its relaxed geometry at the PBE level of DFT.

Calculated values
E ... -5.91 eV per atom
Fermi-level density of states ... 4.47 states/eV/f.u.
Energy relative to the elements, uncorrected ... -18.9 eV per formula unit

Cell lengths 18.5234, 4.2458, 8.5093 Å; angles 90.00, 103.17, 90.00 degrees
With the nearest neighbours (Å) after each atom.
Space group C2/m (No. 12)
Inequivalent atoms, fractional coordinates:
Sm (0.0028, 0.0000, 0.2576) [4 per cell]  3 Se 2.97-3.04, 1 As 2.97, 2 Sn 3.04
Sm (0.1692, 0.5000, 0.0927) [4 per cell]  2 As 2.96, 3 Se 2.97-3.06, 1 Sn 3.05
Sm (0.1699, 0.5000, 0.5773) [4 per cell]  3 As 2.93-2.95, 3 Se 3.05-3.07
Sn (0.0000, 0.5000, 0.0000) [2 per cell]  6 Sm 3.04-3.05
As (0.1676, 0.0000, 0.3351) [4 per cell]  6 Sm 2.93-2.97
Se (0.0000, 0.5000, 0.5000) [2 per cell]  6 Sm 2.97-3.07
Se (0.1660, 0.0000, 0.8318) [4 per cell]  6 Sm 2.97-3.06

---

No. 5
Computed, not measured: crystalline PaHIr at its relaxed geometry at the PBE level of DFT.

Calculated values
E ... -7.80 eV per atom
Fermi-level density of states ... 2.36 states/eV/f.u.

Cell lengths 3.8646, 4.1272, 6.0939 Å; angles 90.00, 108.41, 90.00 degrees
With the nearest neighbours (Å) after each atom.
Space group P2_1 (No. 4)
Inequivalent atoms, fractional coordinates:
Pa (0.1336, 0.0000, 0.2670) [2 per cell]  3 H 2.24-2.26
H (0.2933, 0.6922, 0.5860) [2 per cell]  1 Ir 1.89
Ir (0.4117, 0.0049, 0.8241) [2 per cell]  1 H 1.89

---

No. 6
Computed, not measured: crystalline CaCdCo2 at its relaxed geometry at the PBE level of DFT.

Calculated values
E ... -3.85 eV per atom
DFT formation energy ... 0.435 eV/atom
Fermi-level density of states ... 6.84 states/eV/f.u.

Cell lengths 4.2084, 4.2084, 3.8442 Å; angles 90.00, 90.00, 90.00 degrees
With the nearest neighbours (Å) after each atom.
Space group P4/mmm (No. 123)
Inequivalent atoms, fractional coordinates:
Ca (0.0000, 0.0000, 0.0000) [1 per cell]  8 Co 2.85, 4 Cd 2.98
Cd (0.5000, 0.5000, 0.0000) [1 per cell]  8 Co 2.85, 4 Ca 2.98
Co (0.0000, 0.5000, 0.5000) [2 per cell]  4 Cd 2.85, 4 Ca 2.85, 4 Co 2.98